Ba2Hg15Au2: optimized geometry, PBE.

Cell: 7.794 8.090 9.309 Å, 90.59 109.30 96.28°
Positions (direct):
Ba 0.234 0.199 0.338
Ba 0.766 0.801 0.662
Hg 0.000 0.500 0.000
Hg 0.000 0.500 0.500
Hg 0.068 0.178 0.682
Hg 0.137 0.880 0.035
Hg 0.310 0.916 0.644
Hg 0.350 0.340 0.994
Hg 0.350 0.772 0.343
Hg 0.418 0.490 0.680
Hg 0.500 0.000 0.000
Hg 0.582 0.510 0.320
Hg 0.650 0.228 0.657
Hg 0.650 0.660 0.006
Hg 0.690 0.084 0.356
Hg 0.863 0.120 0.965
Hg 0.932 0.822 0.318
Au 0.171 0.656 0.803
Au 0.829 0.344 0.197

Computed properties:
- Magnetic moment: 0.00 μB per cell
- Space-group type: P-1 (2)
- Calculated volume: 550 Å³ per cell
- Formation energy from the elements: -190 meV per atom

BiOs3Br: optimized geometry, PBE.

Cell: 5.106 5.106 5.106 Å, 90.00 90.00 90.00°
Positions (direct):
Bi 0.000 0.000 0.000
Os 0.000 0.000 0.500
Os 0.000 0.500 0.000
Os 0.500 0.000 0.000
Br 0.500 0.500 0.500

Computed properties:
- Formation energy without anion corrections: 3.071 eV/atom
- Magnetic moment: 5.64 μB per cell
- Space-group type: Pm-3m (221)
- Calculated volume: 133 Å³ per cell

CsHg3Ru: optimized geometry, PBE.

Cell: 5.397 5.397 5.397 Å, 90.00 90.00 90.00°
Positions (direct):
Cs 0.000 0.000 0.000
Hg 0.000 0.500 0.500
Hg 0.500 0.000 0.500
Hg 0.500 0.500 0.000
Ru 0.500 0.500 0.500

Computed properties:
- Magnetic moment: 0.00 μB per cell
- Space-group type: Pm-3m (221)
- Calculated volume: 157 Å³ per cell
- Formation energy from the elements: 99 meV per atom

ZnHPt3: optimized geometry, PBE.

Cell: 4.002 4.002 4.002 Å, 90.00 90.00 90.00°
Positions (direct):
Zn 0.000 0.000 0.000
H 0.500 0.500 0.500
Pt 0.000 0.500 0.500
Pt 0.500 0.000 0.500
Pt 0.500 0.500 0.000

Computed properties:
- Magnetic moment: 0.00 μB per cell
- Space-group type: Pm-3m (221)
- Calculated volume: 64 Å³ per cell
- Electronic total energy: -23.7 eV per formula unit

PrZr2Zn9: optimized geometry, PBE.

Cell: 9.013 9.013 9.013 Å, 34.44 34.44 34.44°
Positions (direct):
Pr 0.000 0.000 0.000
Zr 0.145 0.145 0.145
Zr 0.855 0.855 0.855
Zn 0.078 0.590 0.590
Zn 0.336 0.336 0.336
Zn 0.410 0.410 0.922
Zn 0.410 0.922 0.410
Zn 0.500 0.500 0.500
Zn 0.590 0.078 0.590
Zn 0.590 0.590 0.078
Zn 0.664 0.664 0.664
Zn 0.922 0.410 0.410

Computed properties:
- Magnetic moment: 1.86 μB per cell
- Space-group type: R-3m (166)
- Calculated volume: 209 Å³ per cell
- Formation energy from the elements: -295 meV per atom

In3HN: optimized geometry, PBE.

Cell: 4.809 4.809 4.809 Å, 90.00 90.00 90.00°
Positions (direct):
In 0.000 0.000 0.500
In 0.000 0.500 0.000
In 0.500 0.000 0.000
H 0.500 0.500 0.500
N 0.000 0.000 0.000

Computed properties:
- Magnetic moment: 0.00 μB per cell
- Space-group type: Pm-3m (221)
- Calculated volume: 111 Å³ per cell
- Electronic total energy: -15.4 eV per formula unit

Ca3InSe: optimized geometry, PBE.

Cell: 5.531 5.531 5.531 Å, 90.00 90.00 90.00°
Positions (direct):
Ca 0.000 0.000 0.500
Ca 0.000 0.500 0.000
Ca 0.500 0.000 0.000
In 0.500 0.500 0.500
Se 0.000 0.000 0.000

Computed properties:
- Formation energy without anion corrections: -0.794 eV/atom
- Magnetic moment: 0.00 μB per cell
- Space-group type: Pm-3m (221)
- Calculated volume: 169 Å³ per cell

MnTe2Rh: optimized geometry, PBE.

Cell: 4.923 4.923 3.960 Å, 90.00 90.00 105.48°
Positions (direct):
Mn 0.000 0.000 0.000
Te 0.275 0.725 0.500
Te 0.725 0.275 0.500
Rh 0.500 0.500 0.000

Computed properties:
- Formation energy without anion corrections: 0.127 eV/atom
- Magnetic moment: 4.86 μB per cell
- Space-group type: Cmmm (65)
- Calculated volume: 92 Å³ per cell